1.
MnAu2Cl (GGA-PBE, relaxed); ΔE to the lowest computed polymorph = 0.00 eV/f.u.; density = 8.27 g/cm³; uncorrected formation energy = -0.163 eV per atom
1.0
4.6203 -1.6000 0.0000
4.6203 1.6000 0.0000
-0.7762 0.0000 6.5804
Mn Au Cl
1 2 1
Direct
0.0000 0.0000 0.0000
0.2718 0.2718 0.8415
0.5362 0.5362 0.6783
0.5529 0.5529 0.2699

2.
BaCo3Pt (GGA-PBE, relaxed); formation energy from the elements = 2294 meV/atom; ΔE to the lowest computed polymorph = 8.47 eV/f.u.; density = 8.07 g/cm³
1.0
4.7142 0.0000 0.0000
0.0000 4.7142 0.0000
0.0000 0.0000 4.7142
Ba Co Pt
1 3 1
Direct
0.0000 0.0000 0.0000
0.0000 0.0000 0.5000
0.0000 0.5000 0.0000
0.5000 0.0000 0.0000
0.5000 0.5000 0.5000

3.
Th4TeRhSe2 (GGA-PBE, relaxed); density = 9.77 g/cm³; uncorrected formation energy = -1.234 eV per atom
1.0
7.4179 0.0000 0.0000
0.0000 4.1462 0.0000
-2.4124 0.0000 7.2733
Th Te Rh Se
4 1 1 2
Direct
0.2306 0.0000 0.2189
0.2607 0.5000 0.7704
0.7393 0.5000 0.2296
0.7694 0.0000 0.7811
0.0000 0.0000 0.5000
0.0000 0.5000 0.0000
0.5000 0.0000 0.0000
0.5000 0.5000 0.5000

4.
SrNb2SiPb (GGA-PBE, relaxed); density = 6.46 g/cm³; uncorrected formation energy = 0.517 eV per atom
1.0
4.8591 0.0000 0.0000
0.0000 4.8591 0.0000
0.0000 0.0000 5.5369
Sr Nb Si Pb
1 2 1 1
Direct
0.0000 0.0000 0.0000
0.0000 0.5000 0.5000
0.5000 0.0000 0.5000
0.0000 0.0000 0.5000
0.5000 0.5000 0.0000